HfCdSb3 | meta-GGA SCAN | PBEsol geometry

Values from the calculation:
Its density of states at the Fermi level is 3.98 states/eV per cell. As for the calculated volume: 29.52 A^3/atom. The value obtained for the uncorrected formation energy is 1080 meV/atom. Its symmetry is Pm-3m, No. 221. The calculation puts the total energy at -39.894 eV/atom. As for the total moment: 0.00 μB per atom.

Unit cell a=5.285 b=5.285 c=5.285 alpha=90.00 beta=90.00 gamma=90.00
Atoms (fractional coordinates):
Hf 0.000 0.000 0.000
Cd 0.500 0.500 0.500
Sb 0.000 0.500 0.500
Sb 0.500 0.000 0.500
Sb 0.500 0.500 0.000


NaMg2TcC | meta-GGA SCAN | PBEsol geometry

Values from the calculation:
Its density of states at the Fermi level is 2.77 states/eV per cell. As for the calculated volume: 20.55 A^3/atom. Its symmetry is P4/mmm, No. 123. The formation energy comes out at 663 meV/atom. The calculation puts the total energy at -11.201 eV/atom. As for the total moment: 0.00 μB per atom.

Unit cell a=5.113 b=5.113 c=3.931 alpha=90.00 beta=90.00 gamma=90.00
Atoms (fractional coordinates):
Na 0.000 0.000 0.000
Mg 0.000 0.500 0.500
Mg 0.500 0.000 0.500
Tc 0.500 0.500 0.500
C 0.500 0.500 0.000


SrTcNi2 | meta-GGA SCAN | PBEsol geometry

Values from the calculation:
Its density of states at the Fermi level is 3.82 states/eV per cell. As for the calculated volume: 15.91 A^3/atom. Its symmetry is P4mm, No. 99. The formation energy comes out at 567 meV/atom. The calculation puts the total energy at -21.853 eV/atom. As for the total moment: 0.00 μB per atom.

Unit cell a=2.963 b=2.963 c=7.248 alpha=90.00 beta=90.00 gamma=90.00
Atoms (fractional coordinates):
Sr 0.000 0.000 0.000
Tc 0.500 0.500 0.344
Ni 0.000 0.000 0.526
Ni 0.500 0.500 0.694


Mg4BeCd | meta-GGA SCAN | PBEsol geometry

Values from the calculation:
Its density of states at the Fermi level is 2.81 states/eV per cell. As for the calculated volume: 20.97 A^3/atom. Its symmetry is F-43m, No. 216. The formation energy comes out at 408 meV/atom. The calculation puts the total energy at -8.703 eV/atom. As for the total moment: 0.00 μB per atom.

Unit cell a=5.624 b=5.624 c=5.624 alpha=60.00 beta=60.00 gamma=60.00
Atoms (fractional coordinates):
Mg 0.125 0.125 0.125
Mg 0.125 0.125 0.626
Mg 0.125 0.626 0.125
Mg 0.626 0.125 0.125
Be 0.750 0.750 0.750
Cd 0.500 0.500 0.500


Ir3PdPb | meta-GGA SCAN | PBEsol geometry

Values from the calculation:
Its density of states at the Fermi level is 6.23 states/eV per cell. As for the calculated volume: 23.19 A^3/atom. Its symmetry is Pm-3m, No. 221. The formation energy comes out at 2676 meV/atom. The calculation puts the total energy at -61.695 eV/atom. As for the total moment: 0.31 μB per atom.

Unit cell a=4.876 b=4.876 c=4.876 alpha=90.00 beta=90.00 gamma=90.00
Atoms (fractional coordinates):
Ir 0.000 0.000 0.500
Ir 0.000 0.500 0.000
Ir 0.500 0.000 0.000
Pd 0.500 0.500 0.500
Pb 0.000 0.000 0.000


PrTe3 | meta-GGA SCAN | PBEsol geometry

Values from the calculation:
Its density of states at the Fermi level is 1.92 states/eV per cell. As for the calculated volume: 30.80 A^3/atom. The value obtained for the uncorrected formation energy is -1133 meV/atom. Its symmetry is Cmcm, No. 63. The calculation puts the total energy at -39.903 eV/atom. As for the total moment: 0.00 μB per atom.

Unit cell a=13.273 b=13.273 c=4.339 alpha=90.00 beta=90.00 gamma=161.19
Atoms (fractional coordinates):
Pr 0.169 0.831 0.750
Pr 0.831 0.169 0.250
Te 0.071 0.929 0.250
Te 0.294 0.706 0.750
Te 0.428 0.572 0.250
Te 0.572 0.428 0.750
Te 0.706 0.294 0.250
Te 0.929 0.071 0.750